{
  "formula": "PmSn3Hg",
  "functional": "PBE-GGA",
  "state": "relaxed",
  "cell": [[-1.2390, 5.1041, -3.6818], [-5.7452, 0.5199, 2.6540], [4.9982, 7.9015, 9.2718]],
  "species": ["Pm", "Pm", "Pm", "Pm", "Sn", "Sn", "Sn", "Sn", "Sn", "Sn", "Sn", "Sn", "Sn", "Sn", "Sn", "Sn", "Hg", "Hg", "Hg", "Hg"],
  "frac_coords": [[0.7500, 0.5096, 0.6912], [0.2500, 0.4904, 0.3088], [0.7500, 0.0096, 0.3088], [0.2500, 0.9904, 0.6912], [0.0000, 0.2500, 0.5004], [0.5000, 0.7500, 0.4996], [0.0000, 0.7500, 0.4996], [0.5000, 0.2500, 0.5004], [0.2500, 0.1963, 0.9225], [0.7500, 0.8037, 0.0775], [0.2500, 0.6963, 0.0775], [0.7500, 0.3037, 0.9225], [0.2500, 0.4843, 0.7234], [0.7500, 0.5157, 0.2766], [0.2500, 0.9843, 0.2766], [0.7500, 0.0157, 0.7234], [0.5000, 0.2500, 0.1177], [0.0000, 0.7500, 0.8823], [0.5000, 0.7500, 0.8823], [0.0000, 0.2500, 0.1177]],
  "de_polymorph_ev_per_fu": 0.00,
  "e_tot_ev_per_fu": -18.7,
  "dos_ef_per_ev_cell": 7.974,
  "ef_mev_per_atom": -326,
  "spacegroup": "Pbcm (57)",
  "m_tot_mub_per_atom": 0.00
}

{
  "formula": "Nd3P5S12",
  "functional": "PBE-GGA",
  "state": "relaxed",
  "cell": [[13.2212, 0.0000, 0.0000], [-4.4071, 12.4651, 0.0000], [-4.4071, -6.2325, 10.7951]],
  "species": ["P", "P", "P", "P", "P", "P", "P", "P", "P", "P", "P", "P", "P", "P", "P", "P", "P", "P", "P", "P", "S", "S", "S", "S", "S", "S", "S", "S", "S", "S", "S", "S", "S", "S", "S", "S", "S", "S", "S", "S", "S", "S", "S", "S", "S", "S", "S", "S", "S", "S", "S", "S", "S", "S", "S", "S", "S", "S", "S", "S", "S", "S", "S", "S", "S", "S", "S", "S", "Nd", "Nd", "Nd", "Nd", "Nd", "Nd", "Nd", "Nd", "Nd", "Nd", "Nd", "Nd"],
  "frac_coords": [[0.1250, 0.3750, 0.2500], [0.0000, 0.5000, 0.0000], [0.0000, 0.0000, 0.0000], [0.3750, 0.2500, 0.1250], [0.5000, 0.0000, 0.5000], [0.5000, 0.5000, 0.0000], [0.1250, 0.7500, 0.3750], [0.7500, 0.1250, 0.8750], [0.7500, 0.6250, 0.3750], [0.3750, 0.1250, 0.7500], [0.6250, 0.8750, 0.2500], [0.5000, 0.5000, 0.5000], [0.5000, 0.0000, 0.0000], [0.0000, 0.0000, 0.5000], [0.2500, 0.3750, 0.6250], [0.2500, 0.8750, 0.1250], [0.0000, 0.5000, 0.5000], [0.8750, 0.2500, 0.6250], [0.6250, 0.7500, 0.8750], [0.8750, 0.6250, 0.7500], [0.7027, 0.1203, 0.0262], [0.3235, 0.5262, 0.4059], [0.9738, 0.3797, 0.2973], [0.5262, 0.2027, 0.1203], [0.5824, 0.7027, 0.6765], [0.9738, 0.5941, 0.1765], [0.3235, 0.7973, 0.4176], [0.0941, 0.9176, 0.1203], [0.5941, 0.9738, 0.6765], [0.7027, 0.5824, 0.1765], [0.7973, 0.4738, 0.3797], [0.8235, 0.9059, 0.0262], [0.1203, 0.7027, 0.5262], [0.3797, 0.4059, 0.0824], [0.0824, 0.9059, 0.3797], [0.4176, 0.1203, 0.5941], [0.0824, 0.1765, 0.2027], [0.4738, 0.6765, 0.0941], [0.8235, 0.9176, 0.2973], [0.1203, 0.4176, 0.0941], [0.3797, 0.9738, 0.7973], [0.5941, 0.6203, 0.4176], [0.9059, 0.8235, 0.5262], [0.7973, 0.3235, 0.9176], [0.4059, 0.3797, 0.5824], [0.0941, 0.1765, 0.4738], [0.2027, 0.6765, 0.0824], [0.1765, 0.0824, 0.7027], [0.6203, 0.0262, 0.2027], [0.8797, 0.5824, 0.9059], [0.5262, 0.3235, 0.9059], [0.5824, 0.8797, 0.4059], [0.9176, 0.8235, 0.7973], [0.9176, 0.0941, 0.6203], [0.8797, 0.2973, 0.4738], [0.1765, 0.0941, 0.9738], [0.6203, 0.5941, 0.9176], [0.4059, 0.0262, 0.3235], [0.2973, 0.4176, 0.8235], [0.2027, 0.5262, 0.6203], [0.9059, 0.0824, 0.8797], [0.6765, 0.2027, 0.5824], [0.4738, 0.7973, 0.8797], [0.0262, 0.4059, 0.8235], [0.4176, 0.2973, 0.3235], [0.0262, 0.6203, 0.7027], [0.6765, 0.4738, 0.5941], [0.2973, 0.8797, 0.9738], [0.7500, 0.3750, 0.1250], [0.8750, 0.7500, 0.1250], [0.3750, 0.7500, 0.6250], [0.2500, 0.1250, 0.3750], [0.8750, 0.1250, 0.2500], [0.3750, 0.6250, 0.2500], [0.6250, 0.3750, 0.7500], [0.1250, 0.8750, 0.7500], [0.7500, 0.8750, 0.6250], [0.6250, 0.2500, 0.3750], [0.1250, 0.2500, 0.8750], [0.2500, 0.6250, 0.8750]],
  "e_form_raw_ev_per_atom": -0.608,
  "e_tot_ev_per_fu": -103.1,
  "dos_ef_per_ev_cell": 18.938,
  "spacegroup": "Ia-3d (230)",
  "m_tot_mub_per_atom": 0.00
}

{
  "formula": "KNiHg2Au",
  "functional": "PBE-GGA",
  "state": "relaxed",
  "cell": [[5.1021, 0.0000, 0.0000], [0.0000, 5.1021, 0.0000], [0.0000, 0.0000, 5.0901]],
  "species": ["Ni", "K", "Au", "Hg", "Hg"],
  "frac_coords": [[0.0000, 0.0000, 0.0000], [0.5000, 0.5000, 0.5000], [0.0000, 0.0000, 0.5000], [0.0000, 0.5000, 0.0000], [0.5000, 0.0000, 0.0000]],
  "e_tot_ev_per_fu": -11.2,
  "dos_ef_per_ev_cell": 1.331,
  "ef_mev_per_atom": -84,
  "spacegroup": "P4/mmm (123)",
  "m_tot_mub_per_atom": 0.00
}